DFT (PBE+U) results for TlV2FeO6 after structural relaxation.

Cell: 6.053 8.027 8.027 Å, 89.87 75.49 75.49°
Sites, in units of the cell vectors:
1 V 0.314 0.806 0.627
2 V 0.686 0.194 0.373
3 V 0.186 0.373 0.194
4 V 0.814 0.627 0.806
5 O 0.578 0.231 0.597
6 O 0.282 0.303 0.978
7 O 0.940 0.282 0.294
8 O 0.218 0.022 0.697
9 O 0.060 0.718 0.706
10 O 0.078 0.597 0.231
11 O 0.440 0.294 0.282
12 O 0.422 0.769 0.403
13 O 0.718 0.697 0.022
14 O 0.922 0.403 0.769
15 O 0.560 0.706 0.718
16 O 0.782 0.978 0.303
17 Fe 0.750 0.736 0.264
18 Fe 0.250 0.264 0.736
19 Tl 0.250 0.870 0.130
20 Tl 0.750 0.130 0.870

raw total energy	-6.89	eV per atom
calculated density	4.17	Mg/m³
magnetic moment	0.500	μB per atom